Material: CsTe6As2Au2
Method: DFT, GGA-PBE
State: relaxed

Unit cell a=9.903 b=8.329 c=8.661 alpha=99.84 beta=71.77 gamma=48.45
Sites, in units of the cell vectors:
Te  0.114  0.948  0.657
Te  0.092  0.322  0.059
Te  0.557  0.329  0.084
Te  0.908  0.678  0.941
Te  0.443  0.671  0.916
Te  0.886  0.052  0.343
As  0.153  0.665  0.405
As  0.847  0.335  0.595
Cs  0.500  0.000  0.500
Au  0.181  0.685  0.877
Au  0.819  0.315  0.123

Mass density ... 5.57 g/cm³
E ... -3.3552 eV/atom
E_form (uncorrected) ... -123 meV per atom